No. 1
# Co2CuSi

A relaxed Co2CuSi crystal (PBE-GGA, Alexandria via LeMat-Bulk).

a b c (Å): 3.951 3.951 2.782
angles (deg): 90.00 90.00 90.00
Space group P4/mmm (No. 123)
Asymmetric unit:
Co 0.000 0.500 0.000
Cu 0.000 0.000 0.500
Si 0.500 0.500 0.500

E_form (uncorrected) ... -0.78 eV per formula unit
Total energy ... -6.128 eV/atom
Density ... 8.012 Mg/m³
V ... 43.4 Å³/cell
Spin magnetization ... 0.439 μB/cell

No. 2
# Np3Ge3Rh2

A relaxed Np3Ge3Rh2 crystal (PBE-GGA, Alexandria via LeMat-Bulk).

a b c (Å): 8.041 14.389 5.516
angles (deg): 90.00 90.00 90.00
Space group Pnma (No. 62)
Asymmetric unit:
Np 0.036 0.109 0.114
Np 0.170 0.250 0.631
Ge 0.182 0.750 0.635
Ge 0.190 0.035 0.603
Rh 0.093 0.612 0.367

Total energy ... -8.769 eV/atom
Density ... 11.808 Mg/m³
Formation enthalpy at 0 K ... -347 meV/atom
V ... 638.3 Å³/cell
Spin magnetization ... 45.096 μB/cell

No. 3
# Tl5SF4

A relaxed Tl5SF4 crystal (PBE-GGA, Alexandria via LeMat-Bulk).

a b c (Å): 9.597 9.597 5.239
angles (deg): 90.00 90.00 90.00
Space group I4/m (No. 87)
Asymmetric unit:
Tl 0.000 0.000 0.000
Tl 0.102 0.688 0.500
S 0.000 0.000 0.500
F 0.141 0.762 0.000

E_form (uncorrected) ... -14.20 eV per formula unit
Total energy ... -3.765 eV/atom
Density ... 7.777 Mg/m³
V ... 482.5 Å³/cell
Spin magnetization ... 0.000 μB/cell

No. 4
# Tb2NdGa

A relaxed Tb2NdGa crystal (PBE-GGA, Alexandria via LeMat-Bulk).

a b c (Å): 4.286 12.156 9.067
angles (deg): 90.00 90.00 90.00
Space group Cmcm (No. 63)
Asymmetric unit:
Tb 0.000 0.145 0.055
Nd 0.000 0.441 0.250
Ga 0.000 0.250 0.750

Total energy ... -4.508 eV/atom
Excess energy over the best structure of this formula in the dataset ... 14 kJ/mol of formula units
Density ... 7.478 Mg/m³
Formation enthalpy at 0 K ... -244 meV/atom
V ... 472.4 Å³/cell
Spin magnetization ... 0.004 μB/cell

No. 5
# HgH2Br

A relaxed HgH2Br crystal (PBE-GGA, Alexandria via LeMat-Bulk).

a b c (Å): 5.380 5.380 9.218
angles (deg): 90.00 90.00 90.00
Space group I-42d (No. 122)
Asymmetric unit:
Hg 0.000 0.000 0.000
H 0.115 0.250 0.125
Br 0.000 0.000 0.500

Total energy ... -1.696 eV/atom
Excess energy over the best structure of this formula in the dataset ... 147 kJ/mol of formula units
Density ... 7.034 Mg/m³
V ... 266.8 Å³/cell
Spin magnetization ... 0.000 μB/cell

No. 6
# BeSe2Cl2

A relaxed BeSe2Cl2 crystal (PBE-GGA, Alexandria via LeMat-Bulk).

a b c (Å): 6.460 6.460 5.099
angles (deg): 90.00 90.00 90.00
Space group P4/mbm (No. 127)
Asymmetric unit:
Be 0.000 0.000 0.000
Se 0.167 0.333 0.000
Cl 0.183 0.317 0.500

E_form (uncorrected) ... 0.17 eV per formula unit
Total energy ... -2.844 eV/atom
Excess energy over the best structure of this formula in the dataset ... 0 kJ/mol of formula units
Density ... 3.712 Mg/m³
V ... 212.8 Å³/cell
Spin magnetization ... 0.000 μB/cell

No. 7
# Cs2CdAuI

A relaxed Cs2CdAuI crystal (PBE-GGA, Alexandria via LeMat-Bulk).

a b c (Å): 6.858 6.858 5.406
angles (deg): 90.00 90.00 90.00
Space group P4/mmm (No. 123)
Asymmetric unit:
Cs 0.000 0.500 0.000
Cd 0.000 0.000 0.500
Au 0.000 0.000 0.000
I 0.500 0.500 0.500

E_form (uncorrected) ... -3.28 eV per formula unit
Total energy ... -2.146 eV/atom
Density ... 4.586 Mg/m³
V ... 254.2 Å³/cell
Spin magnetization ... 0.000 μB/cell

No. 8
# SmScTa

A relaxed SmScTa crystal (PBE-GGA, Alexandria via LeMat-Bulk).

a b c (Å): 16.208 3.242 5.452
angles (deg): 90.00 90.00 90.00
Space group Amm2 (No. 38)
Asymmetric unit:
Sm 0.185 0.000 0.000
Sc 0.000 0.000 0.673
Sc 0.500 0.000 0.946
Ta 0.349 0.000 0.597

Total energy ... -7.279 eV/atom
Density ... 8.723 Mg/m³
Formation enthalpy at 0 K ... 356 meV/atom
V ... 286.5 Å³/cell
Spin magnetization ... 0.000 μB/cell